Entry from the Alexandria database: crystalline BaMnSiO4 at its relaxed geometry (PBE+U).

Cell: 5.398 5.798 7.026 Å, 90.00 107.51 90.00°
Last column: magnetic moment on the atom in μB.
Atoms (fractional coordinates):
O1 0.042 0.971 0.301  0.04
Mn1 0.823 0.750 0.480  4.63
Si1 0.750 0.250 0.669  0.01
O2 0.608 0.250 0.847  0.02
Mn2 0.177 0.250 0.520  4.63
Ba1 0.288 0.250 0.070  0.01
O3 0.465 0.750 0.550  0.03
O4 0.958 0.471 0.699  0.04
O5 0.535 0.250 0.450  0.03
O6 0.392 0.750 0.153  0.02
O7 0.958 0.029 0.699  0.04
O8 0.042 0.529 0.301  0.04
Si2 0.250 0.750 0.331  0.01
Ba2 0.712 0.750 0.930  0.01

Calculated values
The energy is -52.3 eV/f.u. For the density of states at the Fermi level, the calculation gives 0.0 states/eV/f.u. The crystal system is monoclinic. The symmetry is P2_1/m, No. 11.